1.
This record from Alexandria describes crystalline ScGeP3 at its relaxed geometry. The functional is PBEsol.

Lattice parameters (Å, degrees): 4.8267 4.8267 4.8267 90.00 90.00 90.00
Space group Pm-3m (No. 221)
Inequivalent atoms, fractional coordinates:
Sc  0.0000  0.0000  0.0000 [1 per cell]
Ge  0.5000  0.5000  0.5000 [1 per cell]
P  0.0000  0.0000  0.5000 [3 per cell]


2.
This record from Alexandria describes crystalline ScGe3P at its relaxed geometry. The functional is PBEsol.

Lattice parameters (Å, degrees): 5.0025 5.0025 5.0025 90.00 90.00 90.00
Space group Pm-3m (No. 221)
Inequivalent atoms, fractional coordinates:
Sc  0.0000  0.0000  0.0000 [1 per cell]
Ge  0.0000  0.0000  0.5000 [3 per cell]
P  0.5000  0.5000  0.5000 [1 per cell]


Result set for theoretical density: 3.11; 3.90 g/cm³, one per record in the order listed.
Result set for DOS at the Fermi energy: 0.65; 0.96 states/eV/atom, one per record in the order listed.
Result set for DFT formation energy: 0.5746; 0.9570 eV/atom, one per record in the order listed.